Entry 1:
This record from Alexandria via LeMat-Bulk describes an optimized crystal structure of AlIn2Pd2. The functional is PBEsol.

Unit cell a=7.0236 b=7.0236 c=7.0236 alpha=148.05 beta=148.05 gamma=45.81
Positions (direct):
Al  0.0000  0.0000  0.0000
In  0.2500  0.7500  0.5000
In  0.7500  0.2500  0.5000
Pd  0.4001  0.4001  0.0000
Pd  0.5999  0.5999  0.0000

Total DFT energy (no corrections) ... -22.3 eV/cell
Calculated volume ... 19.34 A^3/atom
Symmetry ... No. 139
Magnetic moment ... 0.0 μB per cell
ΔH_f (0 K) ... -0.057 eV/atom
Density of states at the Fermi level ... 2.6 states/eV per cell

Entry 2:
This record from Alexandria via LeMat-Bulk describes an optimized crystal structure of KPtPb. The functional is PBEsol.

Unit cell a=5.0970 b=5.0970 c=3.1277 alpha=90.00 beta=90.00 gamma=120.00
Positions (direct):
K  0.0000  0.0000  0.0000
Pt  0.3333  0.6667  0.5000
Pb  0.6667  0.3333  0.5000

Total DFT energy (no corrections) ... -11.8 eV/cell
Calculated volume ... 23.46 A^3/atom
Symmetry ... No. 187
Magnetic moment ... 0.0 μB per cell
ΔH_f (0 K) ... 0.098 eV/atom
Density of states at the Fermi level ... 2.2 states/eV per cell

Entry 3:
This record from Alexandria via LeMat-Bulk describes an optimized crystal structure of ZnTeIr2. The functional is PBEsol.

Unit cell a=6.4144 b=6.4144 c=6.4144 alpha=153.36 beta=143.90 gamma=45.42
Positions (direct):
Zn  0.0000  0.0000  0.0000
Te  0.7420  0.2420  0.5000
Ir  0.3570  0.8570  0.5000
Ir  0.5500  0.5500  0.0000

Formation energy from raw total energies ... 0.215 eV/atom
Total DFT energy (no corrections) ... -23.9 eV/cell
Calculated volume ... 17.38 A^3/atom
Symmetry ... No. 44
Energy above the most stable polymorph in this dataset ... 1.5 kJ/mol of atoms
Magnetic moment ... 0.0 μB per cell
Density of states at the Fermi level ... 3.0 states/eV per cell

Entry 4:
This record from Alexandria via LeMat-Bulk describes an optimized crystal structure of Cs3ErO3. The functional is PBEsol.

Unit cell a=7.3995 b=7.3995 c=7.5204 alpha=95.85 beta=95.85 gamma=116.41
Positions (direct):
Cs  0.2111  0.7889  0.0000
Cs  0.2623  0.7377  0.5000
Cs  0.3565  0.3565  0.1472
Cs  0.6435  0.6435  0.8528
Cs  0.7377  0.2623  0.5000
Cs  0.7889  0.2111  0.0000
Er  0.1714  0.1714  0.6522
Er  0.8286  0.8286  0.3478
O  0.1053  0.1053  0.3611
O  0.1620  0.4350  0.7680
O  0.4350  0.1620  0.7680
O  0.5649  0.8380  0.2320
O  0.8380  0.5649  0.2320
O  0.8947  0.8947  0.6389

Formation energy from raw total energies ... -1.972 eV/atom
Total DFT energy (no corrections) ... -74.6 eV/cell
Calculated volume ... 25.84 A^3/atom
Symmetry ... No. 12
Magnetic moment ... 0.1 μB per cell
Density of states at the Fermi level ... 0.0 states/eV per cell

Entry 5:
This record from Alexandria via LeMat-Bulk describes an optimized crystal structure of OsPt2Cl. The functional is PBEsol.

Unit cell a=3.7489 b=3.7489 c=4.3076 alpha=90.00 beta=90.00 gamma=90.00
Positions (direct):
Os  0.0000  0.0000  0.0000
Pt  0.0000  0.5000  0.5000
Pt  0.5000  0.0000  0.5000
Cl  0.5000  0.5000  0.0000

Formation energy from raw total energies ... 1.089 eV/atom
Total DFT energy (no corrections) ... -23.8 eV/cell
Calculated volume ... 15.13 A^3/atom
Symmetry ... No. 123
Energy above the most stable polymorph in this dataset ... 65.9 kJ/mol of atoms
Magnetic moment ... 0.0 μB per cell
Density of states at the Fermi level ... 4.8 states/eV per cell

Entry 6:
This record from Alexandria via LeMat-Bulk describes an optimized crystal structure of TaMn2Mo. The functional is PBEsol.

Unit cell a=4.8694 b=4.8694 c=4.8694 alpha=143.12 beta=127.04 gamma=66.28
Positions (direct):
Ta  0.0000  0.0000  0.0000
Mn  0.2551  0.7551  0.5000
Mn  0.7449  0.2449  0.5000
Mo  0.5000  0.5000  0.0000

Total DFT energy (no corrections) ... -43.5 eV/cell
Calculated volume ... 13.64 A^3/atom
Symmetry ... No. 71
Energy above the most stable polymorph in this dataset ... 1.2 kJ/mol of atoms
Magnetic moment ... 1.9 μB per cell
ΔH_f (0 K) ... 0.097 eV/atom
Density of states at the Fermi level ... 4.6 states/eV per cell

Entry 7:
This record from Alexandria via LeMat-Bulk describes an optimized crystal structure of YZn2CuMo. The functional is PBEsol.

Unit cell a=5.1029 b=5.1029 c=4.7070 alpha=90.00 beta=90.00 gamma=90.00
Positions (direct):
Y  0.0000  0.0000  0.0000
Zn  0.0000  0.5000  0.0000
Zn  0.5000  0.0000  0.0000
Cu  0.5000  0.5000  0.5000
Mo  0.0000  0.0000  0.5000

Total DFT energy (no corrections) ... -16.5 eV/cell
Calculated volume ... 24.51 A^3/atom
Symmetry ... No. 123
Magnetic moment ... 0.6 μB per cell
ΔH_f (0 K) ... 1.909 eV/atom
Density of states at the Fermi level ... 4.2 states/eV per cell

Entry 8:
This record from Alexandria via LeMat-Bulk describes an optimized crystal structure of Li4Ti2V3Fe4O18. The functional is PBEsol.

Unit cell a=9.1377 b=23.5570 c=2.8149 alpha=90.00 beta=90.00 gamma=90.00
Positions (direct):
Li  0.1892  0.0119  0.0000
Li  0.1903  0.8123  0.0000
Li  0.3097  0.3123  0.0000
Li  0.3108  0.5119  0.0000
Li  0.6892  0.4881  0.0000
Li  0.6903  0.6877  0.0000
Li  0.8097  0.1877  0.0000
Li  0.8108  0.9881  0.0000
Ti  0.9995  0.1000  0.0000
Ti  0.0005  0.9000  0.0000
Ti  0.4995  0.4000  0.0000
Ti  0.5005  0.6000  0.0000
V  0.0000  0.5000  0.0000
V  0.1848  0.1907  0.5000
V  0.3152  0.6907  0.5000
V  0.5000  0.0000  0.0000
V  0.6848  0.3093  0.5000
V  0.8152  0.8093  0.5000
Fe  0.0208  0.3131  0.0000
Fe  0.1543  0.4201  0.5000
Fe  0.3457  0.9201  0.5000
Fe  0.4792  0.8131  0.0000
Fe  0.5208  0.1869  0.0000
Fe  0.6543  0.0799  0.5000
Fe  0.8457  0.5799  0.5000
Fe  0.9792  0.6869  0.0000
O  0.0161  0.4177  0.0000
O  0.0352  0.8415  0.5000
O  0.0625  0.0523  0.5000
O  0.1253  0.7053  0.5000
O  0.1281  0.2410  0.0000
O  0.1469  0.5022  0.5000
O  0.1562  0.3407  0.5000
O  0.1979  0.1369  0.0000
O  0.2040  0.9228  0.0000
O  0.2960  0.4228  0.0000
O  0.3021  0.6369  0.0000
O  0.3438  0.8407  0.5000
O  0.3531  0.0022  0.5000
O  0.3719  0.7410  0.0000
O  0.3747  0.2053  0.5000
O  0.4375  0.5523  0.5000
O  0.4648  0.3415  0.5000
O  0.4839  0.9177  0.0000
O  0.5161  0.0823  0.0000
O  0.5352  0.6585  0.5000
O  0.5625  0.4477  0.5000
O  0.6253  0.7947  0.5000
O  0.6281  0.2590  0.0000
O  0.6469  0.9978  0.5000
O  0.6562  0.1593  0.5000
O  0.6979  0.3631  0.0000
O  0.7040  0.5772  0.0000
O  0.7960  0.0772  0.0000
O  0.8021  0.8631  0.0000
O  0.8438  0.6593  0.5000
O  0.8531  0.4978  0.5000
O  0.8719  0.7590  0.0000
O  0.8747  0.2947  0.5000
O  0.9375  0.9477  0.5000
O  0.9648  0.1585  0.5000
O  0.9839  0.5823  0.0000

Formation energy from raw total energies ... -2.060 eV/atom
Total DFT energy (no corrections) ... -495.2 eV/cell
Calculated volume ... 9.77 A^3/atom
Symmetry ... No. 55
Magnetic moment ... 18.0 μB per cell
Density of states at the Fermi level ... 32.2 states/eV per cell

Entry 9:
This record from Alexandria via LeMat-Bulk describes an optimized crystal structure of LaTl2Au. The functional is PBEsol.

Unit cell a=3.8060 b=4.3985 c=6.6240 alpha=90.00 beta=106.40 gamma=90.00
Positions (direct):
La  0.0000  0.0000  0.0000
Tl  0.2662  0.0000  0.5322
Tl  0.6660  0.5000  0.3311
Au  0.4182  0.5000  0.8326

Total DFT energy (no corrections) ... -16.0 eV/cell
Calculated volume ... 26.60 A^3/atom
Symmetry ... No. 6
Energy above the most stable polymorph in this dataset ... 7.3 kJ/mol of atoms
Magnetic moment ... 0.0 μB per cell
ΔH_f (0 K) ... -0.356 eV/atom
Density of states at the Fermi level ... 2.2 states/eV per cell

Entry 10:
This record from Alexandria via LeMat-Bulk describes an optimized crystal structure of ScIn2Au. The functional is PBEsol.

Unit cell a=5.1986 b=5.1986 c=5.0892 alpha=102.93 beta=102.93 gamma=38.86
Positions (direct):
Sc  0.0000  0.0000  0.0000
In  0.2378  0.2378  0.7257
In  0.4757  0.4757  0.4698
Au  0.7328  0.7328  0.2019

Total DFT energy (no corrections) ... -18.0 eV/cell
Calculated volume ... 20.96 A^3/atom
Symmetry ... No. 8
Magnetic moment ... 0.0 μB per cell
ΔH_f (0 K) ... -0.371 eV/atom
Density of states at the Fermi level ... 1.9 states/eV per cell

Entry 11:
This record from Alexandria via LeMat-Bulk describes an optimized crystal structure of ZrTiNi2. The functional is PBEsol.

Unit cell a=4.3459 b=4.3459 c=4.3459 alpha=60.00 beta=60.00 gamma=60.00
Positions (direct):
Zr  0.0000  0.0000  0.0000
Ti  0.5000  0.5000  0.5000
Ni  0.2500  0.2500  0.2500
Ni  0.7500  0.7500  0.7500

Total DFT energy (no corrections) ... -31.1 eV/cell
Calculated volume ... 14.51 A^3/atom
Symmetry ... No. 225
Magnetic moment ... 0.0 μB per cell
ΔH_f (0 K) ... -0.332 eV/atom
Density of states at the Fermi level ... 5.0 states/eV per cell

Entry 12:
This record from Alexandria via LeMat-Bulk describes an optimized crystal structure of InPbSN2. The functional is PBEsol.

Unit cell a=4.2739 b=4.2739 c=5.2174 alpha=90.00 beta=90.00 gamma=90.00
Positions (direct):
In  0.0000  0.0000  0.0000
Pb  0.5000  0.5000  0.5000
S  0.0000  0.0000  0.5000
N  0.0000  0.5000  0.0000
N  0.5000  0.0000  0.0000

Formation energy from raw total energies ... 1.023 eV/atom
Total DFT energy (no corrections) ... -23.3 eV/cell
Calculated volume ... 19.06 A^3/atom
Symmetry ... No. 123
Magnetic moment ... 3.0 μB per cell
Density of states at the Fermi level ... 2.3 states/eV per cell

Look up the magnetic moment of the sixth one.
1.9 μB per cell

magnetic moment of number 3 (ZnTeIr2)?
0.0 μB per cell

What did the eleventh record say?
This record from Alexandria via LeMat-Bulk describes an optimized crystal structure of ZrTiNi2. The functional is PBEsol.

Unit cell a=4.3459 b=4.3459 c=4.3459 alpha=60.00 beta=60.00 gamma=60.00
Positions (direct):
Zr  0.0000  0.0000  0.0000
Ti  0.5000  0.5000  0.5000
Ni  0.2500  0.2500  0.2500
Ni  0.7500  0.7500  0.7500

Total DFT energy (no corrections) ... -31.1 eV/cell
Calculated volume ... 14.51 A^3/atom
Symmetry ... No. 225
Magnetic moment ... 0.0 μB per cell
ΔH_f (0 K) ... -0.332 eV/atom
Density of states at the Fermi level ... 5.0 states/eV per cell

What is the formula in the fifth record?
OsPt2Cl